First-principles (GGA-PBE) data for a relaxed Pr6ZnNi2I3 crystal, as listed in Alexandria via LeMat-Bulk.

```
Pr6ZnNi2I3
1.0
3.692 -6.320 0.000
3.692 6.320 0.000
-2.438 0.000 8.032
Pr Zn Ni I
6 1 2 3
direct
0.077 0.432 0.804
0.206 0.206 0.188
0.432 0.077 0.804
0.568 0.923 0.196
0.794 0.794 0.812
0.923 0.568 0.196
0.500 0.500 0.000
0.170 0.830 0.000
0.830 0.170 0.000
0.000 0.000 0.500
0.340 0.660 0.500
0.660 0.340 0.500
```

Summary:
ΔE_f (raw): -0.604 eV/atom
calculated total energy: -4.451 eV/atom

***

First-principles (GGA-PBE) data for a relaxed TlMo2Pt crystal, as listed in Alexandria via LeMat-Bulk.

```
TlMo2Pt
1.0
4.680 0.000 0.000
0.000 3.078 0.000
-1.283 0.000 4.811
Tl Mo Pt
1 2 1
direct
0.000 0.000 0.000
0.000 0.500 0.500
0.500 0.000 0.500
0.500 0.500 0.000
```

Summary:
E_form: 1.59 eV/f.u.
calculated total energy: -7.120 eV/atom
relative energy among the computed polymorphs: 0.134 eV/atom

***

First-principles (GGA-PBE) data for a relaxed GdScAlSn crystal, as listed in Alexandria via LeMat-Bulk.

```
GdScAlSn
1.0
7.230 0.000 0.000
0.000 7.230 0.000
0.000 0.000 7.230
Gd Sc Al Sn
4 4 4 4
direct
0.000 0.000 0.000
0.000 0.500 0.500
0.500 0.000 0.500
0.500 0.500 0.000
0.000 0.000 0.500
0.000 0.500 0.000
0.500 0.000 0.000
0.500 0.500 0.500
0.250 0.250 0.250
0.250 0.750 0.750
0.750 0.250 0.750
0.750 0.750 0.250
0.250 0.250 0.750
0.250 0.750 0.250
0.750 0.250 0.250
0.750 0.750 0.750
```

Summary:
E_form: -1.72 eV/f.u.
calculated total energy: -7.469 eV/atom

***

First-principles (GGA-PBE) data for a relaxed CuRu crystal, as listed in Alexandria via LeMat-Bulk.

```
CuRu
1.0
9.323 0.000 0.000
0.000 9.323 0.000
0.000 0.000 2.657
Cu Ru
8 8
direct
0.088 0.835 0.000
0.165 0.088 0.000
0.351 0.389 0.500
0.389 0.649 0.500
0.611 0.351 0.500
0.649 0.611 0.500
0.835 0.912 0.000
0.912 0.165 0.000
0.113 0.348 0.000
0.115 0.585 0.500
0.348 0.887 0.000
0.415 0.115 0.500
0.585 0.885 0.500
0.652 0.113 0.000
0.885 0.415 0.500
0.887 0.652 0.000
```

Summary:
E_form: 0.98 eV/f.u.
calculated total energy: -6.194 eV/atom

***

First-principles (GGA-PBE) data for a relaxed K2Rb2Pt crystal, as listed in Alexandria via LeMat-Bulk.

```
K2Rb2Pt
1.0
4.968 0.000 0.000
0.000 4.968 0.000
0.000 0.000 23.364
K Rb Pt
4 4 2
direct
0.000 0.500 0.250
0.000 0.500 0.750
0.500 0.000 0.250
0.500 0.000 0.750
0.000 0.000 0.071
0.000 0.000 0.929
0.500 0.500 0.429
0.500 0.500 0.571
0.000 0.000 0.500
0.500 0.500 0.000
```

Summary:
E_form: 2.07 eV/f.u.
calculated total energy: -1.620 eV/atom
relative energy among the computed polymorphs: 0.252 eV/atom

***

First-principles (GGA-PBE) data for a relaxed Ba3AlBi crystal, as listed in Alexandria via LeMat-Bulk.

```
Ba3AlBi
1.0
6.322 0.000 0.000
0.000 6.322 0.000
0.000 0.000 6.322
Ba Al Bi
3 1 1
direct
0.000 0.000 0.500
0.000 0.500 0.000
0.500 0.000 0.000
0.000 0.000 0.000
0.500 0.500 0.500
```

Summary:
E_form: -0.48 eV/f.u.
calculated total energy: -2.775 eV/atom
relative energy among the computed polymorphs: 0.000 eV/atom